Record 1
Cs2Na2Li PBE optimized geometry; distance to the lowest polymorph of the same formula = 29 meV/atom; formation energy = 0.1364 eV per atom
1.0
4.929 0.000 0.000
0.000 4.929 0.000
2.465 2.465 12.827
Cs Na Li
2 2 1
Direct
0.400 0.400 0.200 Cs
0.600 0.600 0.800 Cs
0.750 0.250 0.500 Na
0.250 0.750 0.500 Na
0.000 0.000 0.000 Li


Record 2
Ce2Ga5Pd3 PBE optimized geometry; formation energy = -0.7406 eV per atom
1.0
5.819 0.000 0.000
2.909 8.202 0.193
2.909 1.456 8.074
Ce Ga Pd
4 10 6
Direct
0.137 0.587 0.138 Ce
0.637 0.138 0.587 Ce
0.863 0.413 0.862 Ce
0.363 0.862 0.413 Ce
0.402 0.262 0.935 Ga
0.902 0.935 0.262 Ga
0.598 0.738 0.065 Ga
0.098 0.065 0.738 Ga
0.461 0.789 0.789 Ga
0.539 0.211 0.211 Ga
0.750 0.500 0.500 Ga
0.250 0.500 0.500 Ga
0.039 0.211 0.211 Ga
0.961 0.789 0.789 Ga
0.357 0.542 0.744 Pd
0.857 0.744 0.542 Pd
0.643 0.458 0.256 Pd
0.143 0.256 0.458 Pd
0.250 0.000 0.000 Pd
0.750 0.000 0.000 Pd


Record 3
AlGeAu PBE optimized geometry; formation energy = -0.0760 eV per atom
1.0
5.902 0.000 0.000
0.000 5.736 0.000
0.000 0.000 6.496
Ge Au Al
4 4 4
Direct
0.384 0.250 0.136 Ge
0.116 0.750 0.636 Ge
0.616 0.750 0.864 Ge
0.884 0.250 0.364 Ge
0.670 0.250 0.822 Au
0.830 0.750 0.322 Au
0.330 0.750 0.178 Au
0.170 0.250 0.678 Au
0.000 0.000 0.000 Al
0.500 0.500 0.500 Al
0.500 0.000 0.500 Al
0.000 0.500 0.000 Al


Record 4
Mg2CdAs PBE optimized geometry; distance to the lowest polymorph of the same formula = 95 meV/atom; formation energy = -0.1352 eV per atom
1.0
5.259 0.033 0.005
1.363 5.080 -0.005
-3.019 -2.935 3.152
As Mg Cd
1 2 1
Direct
0.750 0.250 0.500 As
0.985 0.985 0.000 Mg
0.515 0.515 0.000 Mg
0.250 0.750 0.500 Cd


Record 5
ScGa2CuW PBE optimized geometry; formation energy = 1.5796 eV per atom
1.0
5.045 0.000 0.000
0.000 4.696 0.000
0.000 0.000 5.045
Sc Cu Ga W
1 1 2 1
Direct
0.000 0.000 0.000 Sc
0.500 0.500 0.500 Cu
0.000 0.000 0.500 Ga
0.500 0.000 0.000 Ga
0.000 0.500 0.000 W


Record 6
ZnCu PBE optimized geometry; formation energy = 0.0883 eV per atom
1.0
6.819 0.000 0.000
-3.409 5.905 0.000
0.000 0.000 4.319
Zn Cu
6 6
Direct
0.935 0.206 0.250 Zn
0.729 0.935 0.750 Zn
0.794 0.729 0.250 Zn
0.065 0.794 0.750 Zn
0.271 0.065 0.250 Zn
0.206 0.271 0.750 Zn
0.523 0.899 0.250 Cu
0.624 0.523 0.750 Cu
0.101 0.624 0.250 Cu
0.477 0.101 0.750 Cu
0.376 0.477 0.250 Cu
0.899 0.376 0.750 Cu


Record 7
SiAgSe2 PBE optimized geometry; energy relative to the elements, uncorrected = 0.04 eV/atom
1.0
-6.409 2.580 -0.657
-6.450 -0.275 -2.546
-1.281 -1.968 3.003
Ag Se Si
1 2 1
Direct
0.218 0.218 0.156 Ag
0.024 0.024 0.138 Se
0.810 0.810 0.631 Se
0.449 0.449 0.575 Si


Record 8
Pr5Y2In4 PBE optimized geometry; distance to the lowest polymorph of the same formula = 0 meV/atom; formation energy = -0.3007 eV per atom
1.0
-2.888 1.171 1.515
-0.447 -7.406 4.875
5.886 3.814 8.272
Pr Y In
5 2 4
Direct
0.000 0.463 0.336 Pr
0.000 0.842 0.140 Pr
0.000 0.500 0.000 Pr
0.000 0.158 0.860 Pr
0.000 0.537 0.664 Pr
0.000 0.918 0.638 Y
0.000 0.082 0.362 Y
0.500 0.240 0.576 In
0.500 0.800 0.874 In
0.500 0.760 0.424 In
0.500 0.200 0.126 In


Record 9
LiNdZnPt2 PBE optimized geometry; formation energy = -0.8037 eV per atom
1.0
3.938 0.000 0.000
0.000 3.938 0.000
-1.969 -1.969 6.140
Li Nd Zn Pt
1 1 1 2
Direct
0.750 0.250 0.500 Li
0.000 0.000 0.000 Nd
0.250 0.750 0.500 Zn
0.611 0.611 0.222 Pt
0.389 0.389 0.778 Pt


Record 10
Pm3Si5Ir6 PBE optimized geometry; energy relative to the elements, uncorrected = -0.97 eV/atom
1.0
-2.451 3.114 -0.778
-5.122 -1.981 8.206
7.503 7.531 6.501
Pm Si Ir
6 10 12
Direct
0.000 0.253 0.655 Pm
0.500 0.747 0.155 Pm
0.500 0.747 0.845 Pm
0.000 0.258 0.000 Pm
0.500 0.742 0.500 Pm
0.000 0.253 0.345 Pm
0.000 0.512 0.878 Si
0.000 0.852 0.675 Si
0.000 0.895 0.000 Si
0.500 0.488 0.622 Si
0.500 0.105 0.500 Si
0.000 0.512 0.122 Si
0.500 0.488 0.378 Si
0.000 0.852 0.325 Si
0.500 0.148 0.825 Si
0.500 0.148 0.175 Si
0.000 0.012 0.830 Ir
0.500 0.988 0.670 Ir
0.500 0.396 0.799 Ir
0.500 0.507 0.000 Ir
0.000 0.493 0.500 Ir
0.000 0.604 0.701 Ir
0.000 0.604 0.299 Ir
0.500 0.023 0.000 Ir
0.000 0.012 0.170 Ir
0.500 0.396 0.201 Ir
0.000 0.977 0.500 Ir
0.500 0.988 0.330 Ir


Record 11
Tl2Ga3AgF12 PBE optimized geometry; energy relative to the elements, uncorrected = -2.31 eV/atom
1.0
-2.972 -3.088 -5.954
3.813 0.027 -6.267
2.789 -6.323 -2.462
Tl Ga Ag F
2 3 1 12
Direct
0.629 0.629 0.629 Tl
0.371 0.371 0.371 Tl
0.500 0.000 0.000 Ga
0.000 0.500 0.000 Ga
0.000 0.000 0.500 Ga
0.000 0.000 0.000 Ag
0.286 0.286 0.907 F
0.884 0.884 0.418 F
0.418 0.884 0.884 F
0.907 0.286 0.286 F
0.884 0.418 0.884 F
0.286 0.907 0.286 F
0.714 0.714 0.093 F
0.116 0.116 0.582 F
0.582 0.116 0.116 F
0.093 0.714 0.714 F
0.116 0.582 0.116 F
0.714 0.093 0.714 F


Record 12
Te2PPtI PBE optimized geometry; distance to the lowest polymorph of the same formula = 209 meV/atom; energy relative to the elements, uncorrected = 0.98 eV/atom
1.0
5.245 0.000 0.000
0.000 5.245 0.000
0.000 0.000 5.125
I P Te Pt
1 1 2 1
Direct
0.000 0.000 0.500 I
0.000 0.000 0.000 P
0.000 0.500 0.000 Te
0.500 0.000 0.000 Te
0.500 0.500 0.500 Pt


Record 13
Sr5LiAg4 PBE optimized geometry; formation energy = -0.2085 eV per atom
1.0
-1.068 3.106 -2.272
-3.385 0.363 2.088
9.089 12.337 12.592
Sr Li Ag
5 1 4
Direct
0.500 0.500 0.112 Sr
0.500 0.500 0.305 Sr
0.500 0.500 0.500 Sr
0.500 0.500 0.695 Sr
0.500 0.500 0.888 Sr
0.000 0.000 0.000 Li
0.000 0.000 0.206 Ag
0.000 0.000 0.403 Ag
0.000 0.000 0.597 Ag
0.000 0.000 0.794 Ag


Record 14
Np2TlBr8 PBE optimized geometry; distance to the lowest polymorph of the same formula = 5 meV/atom; energy relative to the elements, uncorrected = -1.17 eV/atom
1.0
-3.904 3.937 1.673
0.083 2.162 -7.766
-4.698 -6.425 1.282
Np Tl Br
2 1 8
Direct
0.000 0.320 0.680 Np
0.000 0.680 0.320 Np
0.500 0.000 0.000 Tl
0.923 0.944 0.672 Br
0.923 0.672 0.944 Br
0.280 0.599 0.599 Br
0.500 0.742 0.258 Br
0.500 0.258 0.742 Br
0.720 0.401 0.401 Br
0.077 0.328 0.056 Br
0.077 0.056 0.328 Br


Record 15
MoSe PBE optimized geometry; distance to the lowest polymorph of the same formula = 209 meV/atom; energy relative to the elements, uncorrected = -0.07 eV/atom
1.0
1.586 5.845 0.045
-1.586 5.845 0.045
0.000 1.222 6.085
Mo Se
3 3
Direct
0.700 0.700 0.688 Mo
0.303 0.303 0.356 Mo
0.399 0.399 0.742 Mo
0.040 0.040 0.899 Se
0.972 0.972 0.416 Se
0.754 0.754 0.066 Se


Record 16
BaInSnBi2 PBE optimized geometry; formation energy = -0.2650 eV per atom
1.0
4.990 0.000 0.000
2.495 9.458 -0.682
2.495 0.796 9.007
Ba In Sn Bi
2 2 2 4
Direct
0.770 0.814 0.646 Ba
0.230 0.186 0.354 Ba
0.064 0.076 0.797 In
0.936 0.924 0.203 In
0.355 0.384 0.907 Sn
0.645 0.616 0.093 Sn
0.418 0.797 0.367 Bi
0.582 0.203 0.633 Bi
0.833 0.257 0.076 Bi
0.167 0.743 0.924 Bi


Record 17
AgGeBCl2 PBE optimized geometry; energy relative to the elements, uncorrected = 0.87 eV/atom
1.0
5.283 0.000 0.000
0.000 4.190 0.000
0.000 0.000 5.283
Ge B Ag Cl
1 1 1 2
Direct
0.500 0.500 0.500 Ge
0.000 0.500 0.000 B
0.000 0.000 0.000 Ag
0.000 0.000 0.500 Cl
0.500 0.000 0.000 Cl


Record 18
Dy3MgTl3 PBE optimized geometry; formation energy = -0.1426 eV per atom
1.0
5.533 0.000 0.000
0.000 9.040 0.000
0.000 -4.520 7.829
Dy Mg Tl
6 2 6
Direct
0.750 0.646 0.547 Dy
0.750 0.453 0.099 Dy
0.750 0.901 0.354 Dy
0.250 0.354 0.453 Dy
0.250 0.547 0.901 Dy
0.250 0.099 0.646 Dy
0.250 0.667 0.333 Mg
0.750 0.333 0.667 Mg
0.250 0.801 0.746 Tl
0.250 0.254 0.055 Tl
0.250 0.945 0.199 Tl
0.750 0.199 0.254 Tl
0.750 0.746 0.945 Tl
0.750 0.055 0.801 Tl


Record 19
SrOsSe PBE optimized geometry; distance to the lowest polymorph of the same formula = 656 meV/atom; energy relative to the elements, uncorrected = 0.51 eV/atom
1.0
-4.565 -0.463 -1.025
-1.323 -2.478 -3.770
-2.122 -4.159 0.548
Os Se Sr
1 1 1
Direct
0.500 0.500 0.500 Os
0.250 0.250 0.250 Se
0.000 0.000 0.000 Sr


Record 20
K2BaCd PBE optimized geometry; formation energy = 0.0348 eV per atom
1.0
-1.941 -4.684 1.955
4.950 -1.282 1.844
-1.410 3.050 5.907
Ba Cd K
1 1 2
Direct
0.500 0.000 0.500 Ba
0.000 0.500 0.500 Cd
0.000 0.000 0.000 K
0.500 0.500 0.000 K


Record 21
LaTbTe3Pd PBE optimized geometry; energy relative to the elements, uncorrected = -1.32 eV/atom
1.0
4.304 0.000 0.000
0.000 8.383 0.062
0.000 -2.166 9.937
La Tb Te Pd
2 2 6 2
Direct
0.250 0.189 0.289 La
0.750 0.811 0.711 La
0.250 0.680 0.177 Tb
0.750 0.320 0.823 Tb
0.750 0.924 0.137 Te
0.250 0.076 0.863 Te
0.250 0.735 0.475 Te
0.750 0.265 0.525 Te
0.750 0.408 0.147 Te
0.250 0.592 0.853 Te
0.250 0.083 0.595 Pd
0.750 0.917 0.405 Pd


Record 22
Ce3Y5N8 PBE optimized geometry; energy relative to the elements, uncorrected = -1.62 eV/atom
1.0
6.095 0.000 3.491
2.048 5.741 3.491
0.025 0.018 7.022
Ce Y N
3 5 8
Direct
0.500 0.000 0.500 Ce
0.000 0.000 0.500 Ce
0.000 0.500 0.500 Ce
0.500 0.000 0.000 Y
0.500 0.500 0.000 Y
0.000 0.000 0.000 Y
0.000 0.500 0.000 Y
0.500 0.500 0.500 Y
0.250 0.250 0.748 N
0.250 0.752 0.748 N
0.752 0.250 0.748 N
0.749 0.749 0.752 N
0.750 0.750 0.252 N
0.750 0.248 0.252 N
0.248 0.750 0.252 N
0.251 0.251 0.248 N


Number 1: N(E_F) 3.764 states/eV/f.u., mass density 1698 kg/m3, VASP energy -1.115 eV per atom. Number 2: N(E_F) 13.809 states/eV/f.u., mass density 8206 kg/m3, VASP energy -4.999 eV per atom. Number 3: N(E_F) 1.480 states/eV/f.u., mass density 8958 kg/m3, VASP energy -3.955 eV per atom. Number 4: N(E_F) 2.104 states/eV/f.u., mass density 4661 kg/m3, VASP energy -2.324 eV per atom. Number 5: N(E_F) 4.629 states/eV/f.u., mass density 5999 kg/m3, VASP energy -4.307 eV per atom. Number 6: N(E_F) 0.572 states/eV/f.u., mass density 7388 kg/m3, VASP energy -2.597 eV per atom. Number 7: N(E_F) 0.846 states/eV/f.u., mass density 5566 kg/m3, VASP energy -3.773 eV per atom. Number 8: N(E_F) 13.435 states/eV/f.u., mass density 6709 kg/m3, VASP energy -4.644 eV per atom. Number 9: N(E_F) 2.477 states/eV/f.u., mass density 10583 kg/m3, VASP energy -4.811 eV per atom. Number 10: N(E_F) 5.495 states/eV/f.u., mass density 11553 kg/m3, VASP energy -7.721 eV per atom. Number 11: N(E_F) 0.000 states/eV/f.u., mass density 5520 kg/m3, VASP energy -4.483 eV per atom. Number 12: N(E_F) 8.486 states/eV/f.u., mass density 7165 kg/m3, VASP energy -2.872 eV per atom. Number 13: N(E_F) 8.623 states/eV/f.u., mass density 4601 kg/m3, VASP energy -2.381 eV per atom. Number 14: N(E_F) 14.402 states/eV/f.u., mass density 6374 kg/m3, VASP energy -4.953 eV per atom. Number 15: N(E_F) 1.317 states/eV/f.u., mass density 7736 kg/m3, VASP energy -7.228 eV per atom. Number 16: N(E_F) 1.380 states/eV/f.u., mass density 6123 kg/m3, VASP energy -3.550 eV per atom. Number 17: N(E_F) 4.560 states/eV/f.u., mass density 3723 kg/m3, VASP energy -2.699 eV per atom. Number 18: N(E_F) 5.736 states/eV/f.u., mass density 9541 kg/m3, VASP energy -3.357 eV per atom. Number 19: N(E_F) 1.380 states/eV/f.u., mass density 8063 kg/m3, VASP energy -4.960 eV per atom. Number 20: N(E_F) 3.896 states/eV/f.u., mass density 2713 kg/m3, VASP energy -1.223 eV per atom. Number 21: N(E_F) 0.545 states/eV/f.u., mass density 7279 kg/m3, VASP energy -5.354 eV per atom. Number 22: N(E_F) 8.882 states/eV/f.u., mass density 6623 kg/m3, VASP energy -8.911 eV per atom.